Entry 1:
CaMnP2Cl GGA-PBE optimized geometry; energy relative to the lowest polymorph listed for this composition = 1065.9 meV per atom; SG = P4/mmm
1.0
5.258 0.000 0.000
0.000 5.258 0.000
0.000 0.000 5.018
Ca Mn P Cl
1 1 2 1
direct
0.000 0.000 0.000 Ca
0.500 0.500 0.500 Mn
0.000 0.500 0.000 P
0.500 0.000 0.000 P
0.000 0.000 0.500 Cl

---

Entry 2:
CaMnP2Cl GGA-PBE optimized geometry; energy relative to the lowest polymorph listed for this composition = 0.0 meV per atom; SG = P4/mmm
1.0
4.333 0.000 0.000
0.000 4.333 0.000
0.000 0.000 5.432
Ca Mn P Cl
1 1 2 1
direct
0.000 0.000 0.000 Ca
0.500 0.500 0.500 Mn
0.000 0.500 0.500 P
0.500 0.000 0.500 P
0.500 0.500 0.000 Cl

---

Entry 3:
CaMnPCl2 GGA-PBE optimized geometry; energy relative to the lowest polymorph listed for this composition = 320.7 meV per atom; SG = P4/mmm
1.0
5.075 0.000 0.000
0.000 5.075 0.000
0.000 0.000 5.919
Ca Mn P Cl
1 1 1 2
direct
0.000 0.000 0.000 Ca
0.500 0.500 0.500 Mn
0.000 0.000 0.500 P
0.000 0.500 0.000 Cl
0.500 0.000 0.000 Cl

---

Entry 4:
CaMnPCl2 GGA-PBE optimized geometry; energy relative to the lowest polymorph listed for this composition = 0.0 meV per atom; SG = P4/mmm
1.0
4.812 0.000 0.000
0.000 4.812 0.000
0.000 0.000 4.402
Ca Mn P Cl
1 1 1 2
direct
0.000 0.000 0.000 Ca
0.500 0.500 0.500 Mn
0.500 0.500 0.000 P
0.000 0.500 0.500 Cl
0.500 0.000 0.500 Cl

---

Entry 5:
CaMnPbCl6 GGA-PBE optimized geometry; SG = P-31c
1.0
6.823 0.000 0.000
-3.412 5.909 0.000
0.000 0.000 12.519
Ca Mn Pb Cl
2 2 2 12
direct
0.333 0.667 0.250 Ca
0.667 0.333 0.750 Ca
0.333 0.667 0.750 Mn
0.667 0.333 0.250 Mn
0.000 0.000 0.000 Pb
0.000 0.000 0.500 Pb
0.023 0.366 0.633 Cl
0.023 0.657 0.867 Cl
0.343 0.366 0.867 Cl
0.343 0.977 0.633 Cl
0.366 0.023 0.133 Cl
0.366 0.343 0.367 Cl
0.634 0.657 0.633 Cl
0.634 0.977 0.867 Cl
0.657 0.023 0.367 Cl
0.657 0.634 0.133 Cl
0.977 0.343 0.133 Cl
0.977 0.634 0.367 Cl

---

Entry 6:
Rb3CaMn2Cl9 GGA-PBE optimized geometry; SG = P-3m1
1.0
7.342 0.000 0.000
-3.671 6.358 0.000
0.000 0.000 9.026
Rb Ca Mn Cl
3 1 2 9
direct
0.000 0.000 0.000 Rb
0.333 0.667 0.675 Rb
0.667 0.333 0.325 Rb
0.000 0.000 0.500 Ca
0.333 0.667 0.161 Mn
0.667 0.333 0.839 Mn
0.000 0.500 0.000 Cl
0.172 0.345 0.324 Cl
0.172 0.828 0.324 Cl
0.345 0.172 0.676 Cl
0.500 0.000 0.000 Cl
0.500 0.500 0.000 Cl
0.655 0.828 0.324 Cl
0.828 0.172 0.676 Cl
0.828 0.655 0.676 Cl

---

Entry 7:
RbCa2MnCl8 GGA-PBE optimized geometry; SG = P2/m
1.0
6.329 0.000 0.000
0.000 8.506 0.000
-0.363 0.000 6.628
Rb Ca Mn Cl
1 2 1 8
direct
0.000 0.000 0.000 Rb
0.500 0.260 0.500 Ca
0.500 0.740 0.500 Ca
0.000 0.500 0.000 Mn
0.212 0.313 0.153 Cl
0.212 0.687 0.153 Cl
0.272 0.500 0.673 Cl
0.290 0.000 0.634 Cl
0.710 0.000 0.366 Cl
0.728 0.500 0.327 Cl
0.788 0.313 0.847 Cl
0.788 0.687 0.847 Cl

---

Entry 8:
RbCaMnCl5 GGA-PBE optimized geometry; SG = C2/c
1.0
4.565 -6.154 0.000
4.565 6.154 0.000
-3.899 0.000 9.177
Rb Ca Mn Cl
2 2 2 10
direct
0.161 0.839 0.750 Rb
0.839 0.161 0.250 Rb
0.500 0.500 0.000 Ca
0.500 0.500 0.500 Ca
0.184 0.816 0.250 Mn
0.816 0.184 0.750 Mn
0.115 0.249 0.925 Cl
0.186 0.601 0.386 Cl
0.249 0.115 0.425 Cl
0.399 0.814 0.114 Cl
0.423 0.577 0.750 Cl
0.577 0.423 0.250 Cl
0.601 0.186 0.886 Cl
0.751 0.885 0.575 Cl
0.814 0.399 0.614 Cl
0.885 0.751 0.075 Cl

---

Number 1: density 2.30 g cm⁻³, E_form (uncorrected) 0.584 eV/atom. Number 2: density 3.13 g cm⁻³, E_form (uncorrected) -0.482 eV/atom. Number 3: density 2.14 g cm⁻³, E_form (uncorrected) -0.277 eV/atom. Number 4: density 3.21 g cm⁻³, E_form (uncorrected) -0.598 eV/atom. Number 5: density 3.39 g cm⁻³, E_form (uncorrected) -1.538 eV/atom. Number 6: density 2.86 g cm⁻³, E_form (uncorrected) -1.714 eV/atom. Number 7: density 2.35 g cm⁻³, E_form (uncorrected) -1.787 eV/atom. Number 8: density 2.30 g cm⁻³, E_form (uncorrected) -1.817 eV/atom.